1.
{"formula": "Ba3P2Au3", "functional": "GGA-PBE", "state": "optimized geometry", "dos_at_fermi_per_ev_cell": 5.5, "density_g_cm3": 7.4, "ef_ev_per_atom": -0.8060, "sg": "Cmcm (63)", "magnetic_moment_mub_per_cell": 0.00, "cell": [[2.210, -6.100, 0.000], [2.210, 6.100, 0.000], [0.000, 0.000, 17.651]], "species": ["Ba", "Ba", "Ba", "Ba", "Ba", "Ba", "P", "P", "P", "P", "Au", "Au", "Au", "Au", "Au", "Au"], "frac_coords": [[0.112, 0.888, 0.750], [0.364, 0.636, 0.587], [0.364, 0.636, 0.913], [0.636, 0.364, 0.087], [0.636, 0.364, 0.413], [0.888, 0.112, 0.250], [0.356, 0.644, 0.105], [0.356, 0.644, 0.395], [0.644, 0.356, 0.605], [0.644, 0.356, 0.895], [0.083, 0.917, 0.560], [0.083, 0.917, 0.940], [0.166, 0.834, 0.250], [0.834, 0.166, 0.750], [0.917, 0.083, 0.060], [0.917, 0.083, 0.440]]}

=====

2.
{"formula": "BaPAu2", "functional": "GGA-PBE", "state": "optimized geometry", "dos_at_fermi_per_ev_cell": 3.9, "density_g_cm3": 7.9, "ef_ev_per_atom": -0.5189, "sg": "I4_1/amd (141)", "magnetic_moment_mub_per_cell": 0.00, "cell": [[-2.722, 2.722, 7.955], [2.722, -2.722, 7.955], [2.722, 2.722, -7.955]], "species": ["Ba", "Ba", "P", "P", "Au", "Au", "Au", "Au"], "frac_coords": [[0.375, 0.625, 0.750], [0.625, 0.375, 0.250], [0.125, 0.875, 0.250], [0.875, 0.125, 0.750], [0.000, 0.000, 0.000], [0.000, 0.000, 0.500], [0.000, 0.500, 0.000], [0.500, 0.000, 0.500]]}

=====

3.
{"formula": "BaP2Au8", "functional": "GGA-PBE", "state": "optimized geometry", "dos_at_fermi_per_ev_cell": 0.4, "density_g_cm3": 9.5, "ef_ev_per_atom": -0.2060, "sg": "C2/m (12)", "magnetic_moment_mub_per_cell": 0.00, "cell": [[5.818, -3.303, 0.000], [5.818, 3.303, 0.000], [-0.540, 0.000, 8.041]], "species": ["Ba", "P", "P", "Au", "Au", "Au", "Au", "Au", "Au", "Au", "Au"], "frac_coords": [[0.000, 0.000, 0.000], [0.337, 0.337, 0.750], [0.663, 0.663, 0.250], [0.053, 0.472, 0.183], [0.370, 0.370, 0.468], [0.467, 0.467, 0.164], [0.472, 0.053, 0.183], [0.528, 0.947, 0.817], [0.533, 0.533, 0.836], [0.630, 0.630, 0.532], [0.947, 0.528, 0.817]]}

=====

4.
{"formula": "BaPAu2", "functional": "GGA-PBE", "state": "optimized geometry", "dos_at_fermi_per_ev_cell": 3.1, "density_g_cm3": 8.7, "ef_ev_per_atom": -0.3863, "sg": "Imm2 (44)", "magnetic_moment_mub_per_cell": 0.00, "cell": [[-2.316, 3.090, 3.767], [2.316, -3.090, 3.767], [2.316, 3.090, -3.767]], "species": ["Ba", "P", "Au", "Au"], "frac_coords": [[0.000, 0.000, 0.000], [0.659, 0.159, 0.500], [0.318, 0.818, 0.500], [0.555, 0.555, 0.000]]}

=====

5.
{"formula": "Ba4PAu", "functional": "GGA-PBE", "state": "optimized geometry", "dos_at_fermi_per_ev_cell": 5.7, "density_g_cm3": 5.3, "ef_ev_per_atom": -0.5850, "sg": "C2/m (12)", "magnetic_moment_mub_per_cell": 0.00, "cell": [[3.928, -3.929, 0.000], [3.928, 3.929, 0.000], [-0.015, 0.000, 7.962]], "species": ["Ba", "Ba", "Ba", "Ba", "P", "Au"], "frac_coords": [[0.000, 0.500, 0.238], [0.000, 0.500, 0.762], [0.500, 0.000, 0.238], [0.500, 0.000, 0.762], [0.000, 0.000, 0.000], [0.500, 0.500, 0.500]]}

=====

6.
{"formula": "BaPAu2", "functional": "GGA-PBE", "state": "optimized geometry", "dos_at_fermi_per_ev_cell": 1.5, "density_g_cm3": 9.5, "ef_ev_per_atom": -0.0743, "sg": "P4/mmm (123)", "magnetic_moment_mub_per_cell": 0.00, "cell": [[4.591, 0.000, 0.000], [0.000, 4.591, 0.000], [0.000, 0.000, 4.662]], "species": ["Ba", "P", "Au", "Au"], "frac_coords": [[0.000, 0.000, 0.000], [0.500, 0.500, 0.000], [0.000, 0.500, 0.500], [0.500, 0.000, 0.500]]}

=====

7.
{"formula": "Ba8PAu2", "functional": "GGA-PBE", "state": "optimized geometry", "dos_at_fermi_per_ev_cell": 11.8, "density_g_cm3": 4.5, "ef_ev_per_atom": -0.4569, "sg": "C2/m (12)", "magnetic_moment_mub_per_cell": 0.00, "cell": [[7.125, -5.130, 0.000], [7.125, 5.130, 0.000], [-2.465, 0.000, 7.618]], "species": ["Ba", "Ba", "Ba", "Ba", "Ba", "Ba", "Ba", "Ba", "P", "Au", "Au"], "frac_coords": [[0.075, 0.075, 0.259], [0.149, 0.561, 0.251], [0.363, 0.363, 0.740], [0.439, 0.851, 0.749], [0.561, 0.149, 0.251], [0.637, 0.637, 0.260], [0.851, 0.439, 0.749], [0.925, 0.925, 0.741], [0.500, 0.500, 0.500], [0.189, 0.189, 0.960], [0.811, 0.811, 0.040]]}

=====

8.
{"formula": "BaPa2P4Au", "functional": "GGA-PBE", "state": "optimized geometry", "dos_at_fermi_per_ev_cell": 6.2, "density_g_cm3": 7.8, "ef_ev_per_atom": -1.0186, "sg": "Cmcm (63)", "magnetic_moment_mub_per_cell": 0.00, "cell": [[2.064, -6.829, 0.000], [2.064, 6.829, 0.000], [0.000, 0.000, 13.843]], "species": ["Ba", "Ba", "Pa", "Pa", "Pa", "Pa", "P", "P", "P", "P", "P", "P", "P", "P", "Au", "Au"], "frac_coords": [[0.113, 0.887, 0.750], [0.887, 0.113, 0.250], [0.372, 0.628, 0.560], [0.372, 0.628, 0.940], [0.628, 0.372, 0.060], [0.628, 0.372, 0.440], [0.000, 0.000, 0.000], [0.000, 0.000, 0.500], [0.261, 0.739, 0.103], [0.261, 0.739, 0.397], [0.440, 0.560, 0.750], [0.560, 0.440, 0.250], [0.739, 0.261, 0.603], [0.739, 0.261, 0.897], [0.160, 0.840, 0.250], [0.840, 0.160, 0.750]]}